Entry from Alexandria via LeMat-Bulk: crystalline TlAsRu2 at its relaxed geometry (GGA-PBEsol).

a b c (Å): 4.4434 4.4434 3.1635
angles (deg): 90.00 90.00 90.00
With the nearest neighbours (Å) after each atom.
Element x y z (fractional)
1 Tl 0.0000 0.0000 0.0000  8 Ru 2.73
2 As 0.5000 0.5000 0.0000  8 Ru 2.73
3 Ru 0.0000 0.5000 0.5000  4 Tl 2.73, 4 As 2.73
4 Ru 0.5000 0.0000 0.5000  4 Tl 2.73, 4 As 2.73

For the energy of formation from the pure elements, the calculation gives 8.64 kcal/mol of atoms. The energy relative to the lowest polymorph listed for this composition comes out at 149 meV per atom.

Entry from Alexandria via LeMat-Bulk: crystalline Tl2AsRu at its relaxed geometry (GGA-PBEsol).

a b c (Å): 9.4541 9.4541 9.4541
angles (deg): 19.96 19.96 19.96
With the nearest neighbours (Å) after each atom.
Element x y z (fractional)
1 Tl 0.0000 0.0000 0.0000  9 Tl 3.28-3.43, 3 As 3.34
2 Tl 0.2304 0.2304 0.2304  3 Ru 2.88
3 As 0.7657 0.7657 0.7657  3 Ru 2.40
4 Ru 0.4854 0.4854 0.4854  3 As 2.40

For the energy of formation from the pure elements, the calculation gives 2.54 kcal/mol of atoms. The energy relative to the lowest polymorph listed for this composition comes out at 0 meV per atom.